# MnPPbO2 GGA+U optimized geometry
# Total DFT energy (no corrections) (eV per atom): -5.18
# Volume (Å³/atom): 19.2
# D(E_F) (states/eV/f.u.): 3.2
data_MnPPbO2
_chemical_formula_sum 'Mn1 P1 Pb1 O2'
_symmetry_space_group_name_H-M 'P 4/m m m'
_symmetry_Int_Tables_number 123
_symmetry_space_group_name_Hall '-P 4 2'
_cell_length_a 4.149
_cell_length_b 4.149
_cell_length_c 5.578
_cell_angle_alpha 90.00
_cell_angle_beta 90.00
_cell_angle_gamma 90.00
loop_
_atom_site_label
_atom_site_type_symbol
_atom_site_fract_x
_atom_site_fract_y
_atom_site_fract_z
_atom_site_occupancy
Mn1 Mn 0.000 0.000 0.000 1
P1 P 0.500 0.500 0.000 1
Pb1 Pb 0.500 0.500 0.500 1
O1 O 0.000 0.500 0.500 1